(1)
A plane-wave DFT calculation with PBE-GGA was carried out for crystalline KSrLaCo2 at its relaxed geometry.

Results
* calculated formation energy: 24.77 kcal/mol of atoms
* space group: No. 123
* DFT total energy: -3.310 eV/atom

Lattice parameters (Å, degrees): 5.0133 6.1503 5.0133 90.00 90.00 90.00
Last column: nearest neighbours and their distance in Å.
Fractional positions:
Sr (0.0000, 0.5000, 0.0000)  2 La 3.08
K (0.5000, 0.5000, 0.5000)  4 Sr 3.54, 8 Co 3.97
Co (0.0000, 0.0000, 0.5000)  2 La 2.51
Co (0.5000, 0.0000, 0.0000)  2 La 2.51
La (0.0000, 0.0000, 0.0000)  4 Co 2.51



(2)
A plane-wave DFT calculation with PBE-GGA was carried out for crystalline CoTc2SnN at its relaxed geometry.

Results
* formation energy from raw total energies: 0.0239 eV per atom
* space group: No. 123
* DFT total energy: -8.009 eV/atom

Lattice parameters (Å, degrees): 4.1476 4.1476 3.8232 90.00 90.00 90.00
Last column: nearest neighbours and their distance in Å.
Fractional positions:
N (0.0000, 0.0000, 0.0000)  2 Co 1.91, 4 Tc 2.07
Co (0.0000, 0.0000, 0.5000)  2 N 1.91
Sn (0.5000, 0.5000, 0.5000)  8 Tc 2.82, 4 Co 2.93
Tc (0.0000, 0.5000, 0.0000)  2 N 2.07
Tc (0.5000, 0.0000, 0.0000)  2 N 2.07